1.
# Sm4TeAsP2 PBE-GGA relaxed
# - Spin magnetization: 0.0000 μB per atom
# - Volume: 212.23 Å³/cell
# - Formation energy (no corrections): -12.5 eV per formula unit
# - Theoretical density: 6.78 g/cm³
# - Uncorrected energy: -6.2446 eV/atom
# - D(E_F): 1.421 states/eV/cell
data_Sm4TeAsP2
_cell_length_a 7.2927
_cell_length_b 4.1969
_cell_length_c 7.3400
_cell_angle_alpha 90.00
_cell_angle_beta 109.14
_cell_angle_gamma 90.00
_symmetry_space_group_name_H-M 'P 1 2/m 1'
_symmetry_Int_Tables_number 10
loop_
_symmetry_equiv_pos_as_xyz
'x,y,z'
'-x,-y,-z'
'-x,y,-z'
'x,-y,z'
loop_
_atom_site_label
_atom_site_type_symbol
_atom_site_fract_x
_atom_site_fract_y
_atom_site_fract_z
Sm1 Sm 0.2319 0.0000 0.2266
Sm2 Sm 0.2453 0.5000 0.7646
Te1 Te 0.5000 0.5000 0.5000
As1 As 0.0000 0.0000 0.5000
P1 P 0.0000 0.5000 0.0000
P2 P 0.5000 0.0000 0.0000



2.
# Sm6Te3AsP2 PBE-GGA relaxed
# - Spin magnetization: 0.0000 μB per atom
# - Volume: 673.03 Å³/cell
# - Formation energy (no corrections): -18.7 eV per formula unit
# - Theoretical density: 7.02 g/cm³
# - Uncorrected energy: -5.9955 eV/atom
# - D(E_F): 9.357 states/eV/cell
data_Sm6Te3AsP2
_cell_length_a 18.9413
_cell_length_b 4.2353
_cell_length_c 8.7163
_cell_angle_alpha 90.00
_cell_angle_beta 105.74
_cell_angle_gamma 90.00
_symmetry_space_group_name_H-M 'C 1 2/m 1'
_symmetry_Int_Tables_number 12
loop_
_symmetry_equiv_pos_as_xyz
'x,y,z'
'-x,-y,-z'
'-x,y,-z'
'x,-y,z'
'x+1/2,y+1/2,z'
'-x+1/2,-y+1/2,-z'
'-x+1/2,y+1/2,-z'
'x+1/2,-y+1/2,z'
loop_
_atom_site_label
_atom_site_type_symbol
_atom_site_fract_x
_atom_site_fract_y
_atom_site_fract_z
Sm1 Sm 0.0106 0.0000 0.2377
Sm2 Sm 0.1624 0.5000 0.1088
Sm3 Sm 0.1759 0.5000 0.5632
Te1 Te 0.0000 0.5000 0.5000
Te2 Te 0.1649 0.0000 0.8330
As1 As 0.0000 0.5000 0.0000
P1 P 0.1672 0.0000 0.3342



3.
# Sm8Te4As3P PBE-GGA relaxed
# - Spin magnetization: 0.0000 μB per atom
# - Volume: 1368.90 Å³/cell
# - Formation energy (no corrections): -24.7 eV per formula unit
# - Theoretical density: 7.17 g/cm³
# - Uncorrected energy: -5.8979 eV/atom
# - D(E_F): 18.785 states/eV/cell
data_Sm8Te4As3P
_cell_length_a 8.5337
_cell_length_b 8.5337
_cell_length_c 21.7053
_cell_angle_alpha 90.00
_cell_angle_beta 90.00
_cell_angle_gamma 120.00
_symmetry_space_group_name_H-M 'R -3 m'
_symmetry_Int_Tables_number 166
_symmetry_space_group_name_Hall '-R 3 2"'
loop_
_atom_site_label
_atom_site_type_symbol
_atom_site_fract_x
_atom_site_fract_y
_atom_site_fract_z
Sm1 Sm 0.0000 0.0000 0.2400
Sm2 Sm 0.0055 0.5028 0.2389
Te1 Te 0.0000 0.0000 0.0000
Te2 Te 0.0000 0.5000 0.0000
As1 As 0.0000 0.5000 0.5000
P1 P 0.0000 0.0000 0.5000



4.
# Sm4TeAs2P PBE-GGA relaxed
# - Spin magnetization: 0.0000 μB per atom
# - Volume: 216.69 Å³/cell
# - Formation energy (no corrections): -12.3 eV per formula unit
# - Theoretical density: 6.97 g/cm³
# - Uncorrected energy: -6.1225 eV/atom
# - D(E_F): 1.402 states/eV/cell
data_Sm4TeAs2P
_cell_length_a 7.3415
_cell_length_b 4.2359
_cell_length_c 7.3811
_cell_angle_alpha 90.00
_cell_angle_beta 109.26
_cell_angle_gamma 90.00
_symmetry_space_group_name_H-M 'P 1 2/m 1'
_symmetry_Int_Tables_number 10
loop_
_symmetry_equiv_pos_as_xyz
'x,y,z'
'-x,-y,-z'
'-x,y,-z'
'x,-y,z'
loop_
_atom_site_label
_atom_site_type_symbol
_atom_site_fract_x
_atom_site_fract_y
_atom_site_fract_z
Sm1 Sm 0.2370 0.0000 0.2312
Sm2 Sm 0.2476 0.5000 0.7622
Te1 Te 0.5000 0.5000 0.5000
As1 As 0.0000 0.0000 0.5000
As2 As 0.0000 0.5000 0.0000
P1 P 0.5000 0.0000 0.0000



5.
# Sm6TeAs2P3 PBE-GGA relaxed
# - Spin magnetization: 0.0000 μB per atom
# - Volume: 628.74 Å³/cell
# - Formation energy (no corrections): -18.7 eV per formula unit
# - Theoretical density: 6.72 g/cm³
# - Uncorrected energy: -6.3083 eV/atom
# - D(E_F): 3.793 states/eV/cell
data_Sm6TeAs2P3
_cell_length_a 18.3082
_cell_length_b 4.1861
_cell_length_c 8.4370
_cell_angle_alpha 90.00
_cell_angle_beta 103.50
_cell_angle_gamma 90.00
_symmetry_space_group_name_H-M 'C 1 2/m 1'
_symmetry_Int_Tables_number 12
loop_
_symmetry_equiv_pos_as_xyz
'x,y,z'
'-x,-y,-z'
'-x,y,-z'
'x,-y,z'
'x+1/2,y+1/2,z'
'-x+1/2,-y+1/2,-z'
'-x+1/2,y+1/2,-z'
'x+1/2,-y+1/2,z'
loop_
_atom_site_label
_atom_site_type_symbol
_atom_site_fract_x
_atom_site_fract_y
_atom_site_fract_z
Sm1 Sm 0.0013 0.0000 0.2288
Sm2 Sm 0.1663 0.5000 0.0865
Sm3 Sm 0.1746 0.5000 0.5836
Te1 Te 0.0000 0.5000 0.5000
As1 As 0.1666 0.0000 0.8326
P1 P 0.0000 0.5000 0.0000
P2 P 0.1650 0.0000 0.3326



6.
# SmTmAsP PBE-GGA relaxed
# - Spin magnetization: 0.0000 μB per atom
# - ΔH_f (0 K): -1.52 eV per atom
# - Volume: 96.66 Å³/cell
# - Theoretical density: 7.30 g/cm³
# - Uncorrected energy: -6.3317 eV/atom
# - D(E_F): 0.415 states/eV/cell
data_SmTmAsP
_cell_length_a 4.0930
_cell_length_b 4.0930
_cell_length_c 5.7696
_cell_angle_alpha 90.00
_cell_angle_beta 90.00
_cell_angle_gamma 90.00
_symmetry_space_group_name_H-M 'P 4/m m m'
_symmetry_Int_Tables_number 123
_symmetry_space_group_name_Hall '-P 4 2'
loop_
_atom_site_label
_atom_site_type_symbol
_atom_site_fract_x
_atom_site_fract_y
_atom_site_fract_z
Sm1 Sm 0.0000 0.0000 0.0000
Tm1 Tm 0.5000 0.5000 0.5000
As1 As 0.5000 0.5000 0.0000
P1 P 0.0000 0.0000 0.5000